A relaxed Pa3Co3Sn4 crystal. Source: Alexandria via LeMat-Bulk, functional PBE.

Results
Space group = No. 220
DFT formation energy = -379 meV per atom

a = 8.1331 Å, b = 8.1331 Å, c = 8.1331 Å
α = 109.47°, β = 109.47°, γ = 109.47°
Last column: nearest neighbours and their distance in Å.
Fractional coordinates of all 20 atoms:
1 Pa 0.6250 0.7500 0.8750  4 Co 2.88
2 Pa 0.8750 0.2500 0.6250  4 Co 2.88
3 Pa 0.1250 0.3750 0.2500  4 Co 2.88
4 Pa 0.3750 0.1250 0.7500  4 Co 2.88
5 Pa 0.2500 0.8750 0.1250  4 Co 2.88
6 Pa 0.7500 0.6250 0.3750  4 Co 2.88
7 Co 0.1250 0.7500 0.3750  4 Sn 2.62, 4 Pa 2.88
8 Co 0.3750 0.2500 0.1250  4 Sn 2.62, 4 Pa 2.88
9 Co 0.6250 0.8750 0.2500  4 Sn 2.62, 4 Pa 2.88
10 Co 0.8750 0.6250 0.7500  4 Sn 2.62, 4 Pa 2.88
11 Co 0.2500 0.3750 0.6250  4 Sn 2.62, 4 Pa 2.88
12 Co 0.7500 0.1250 0.8750  4 Sn 2.62, 4 Pa 2.88
13 Sn 0.0000 0.0000 0.3367  3 Co 2.62
14 Sn 0.5000 0.3367 0.5000  3 Co 2.62
15 Sn 0.6633 0.1633 0.1633  3 Co 2.62
16 Sn 0.0000 0.0000 0.8367  3 Co 2.62
17 Sn 0.8367 0.5000 0.0000  3 Co 2.62
18 Sn 0.5000 0.8367 0.5000  3 Co 2.62
19 Sn 0.3367 0.5000 0.0000  3 Co 2.62
20 Sn 0.1633 0.6633 0.6633  3 Co 2.62

---

A relaxed Pa2Co3Sn2 crystal. Source: Alexandria via LeMat-Bulk, functional PBE.

Results
Space group = No. 12
DFT formation energy = -362 meV per atom

a = 4.3691 Å, b = 5.0673 Å, c = 6.3884 Å
α = 93.80°, β = 110.00°, γ = 90.00°
Last column: nearest neighbours and their distance in Å.
Fractional coordinates of all 7 atoms:
1 Pa 0.8536 0.6434 0.7073  2 Co 2.43
2 Pa 0.1464 0.3566 0.2927  2 Co 2.43
3 Co 0.0000 0.0000 0.0000  2 Pa 2.43, 4 Sn 2.66
4 Co 0.7802 0.1844 0.5604  1 Pa 2.43, 2 Sn 2.64
5 Co 0.2198 0.8156 0.4396  1 Pa 2.43, 2 Sn 2.64
6 Sn 0.5962 0.8224 0.1924  5 Co 2.64-2.77
7 Sn 0.4038 0.1776 0.8076  5 Co 2.64-2.77

---

A relaxed Pa2Co6Sn crystal. Source: Alexandria via LeMat-Bulk, functional PBE.

Results
Space group = No. 71
DFT formation energy = 47 meV per atom

a = 3.3566 Å, b = 7.5354 Å, c = 7.5354 Å
α = 49.66°, β = 77.13°, γ = 77.13°
Last column: nearest neighbours and their distance in Å.
Fractional coordinates of all 9 atoms:
1 Pa 0.8581 0.6419 0.6419  10 Co 2.58-2.80
2 Pa 0.1419 0.3581 0.3581  10 Co 2.58-2.80
3 Co 0.6774 0.0214 0.6238  4 Co 2.45-2.63, 3 Pa 2.58-2.71
4 Co 0.3226 0.9786 0.3762  4 Co 2.45-2.63, 3 Pa 2.58-2.71
5 Co 0.3226 0.3762 0.9786  4 Co 2.45-2.63, 3 Pa 2.58-2.71
6 Co 0.5000 0.6908 0.3092  3 Co 2.42-2.45, 2 Sn 2.58
7 Co 0.5000 0.3092 0.6908  3 Co 2.42-2.45, 2 Sn 2.58
8 Co 0.6774 0.6238 0.0214  4 Co 2.45-2.63, 3 Pa 2.58-2.71
9 Sn 0.0000 0.0000 0.0000  4 Co 2.58

---

A relaxed PaCoTcSn crystal. Source: Alexandria via LeMat-Bulk, functional PBE.

Results
Space group = No. 216
DFT formation energy = -158 meV per atom

a = 4.6887 Å, b = 4.6887 Å, c = 4.6887 Å
α = 60.00°, β = 60.00°, γ = 60.00°
Last column: nearest neighbours and their distance in Å.
Fractional coordinates of all 4 atoms:
1 Pa 0.7500 0.7500 0.7500  4 Co 2.87, 4 Tc 2.87
2 Co 0.0000 0.0000 0.0000  4 Sn 2.87, 4 Pa 2.87
3 Sn 0.2500 0.2500 0.2500  4 Tc 2.87, 4 Co 2.87
4 Tc 0.5000 0.5000 0.5000  4 Pa 2.87, 4 Sn 2.87

---

A relaxed PaZnCoSn crystal. Source: Alexandria via LeMat-Bulk, functional PBE.

Results
Space group = No. 216
DFT formation energy = -160 meV per atom

a = 4.7100 Å, b = 4.7100 Å, c = 4.7100 Å
α = 60.00°, β = 60.00°, γ = 60.00°
Last column: nearest neighbours and their distance in Å.
Fractional coordinates of all 4 atoms:
1 Zn 0.5000 0.5000 0.5000  4 Pa 2.88, 4 Sn 2.88
2 Pa 0.7500 0.7500 0.7500  4 Co 2.88, 4 Zn 2.88
3 Co 0.0000 0.0000 0.0000  4 Sn 2.88, 4 Pa 2.88
4 Sn 0.2500 0.2500 0.2500  4 Co 2.88, 4 Zn 2.88

---

A relaxed Pa2TaCo9 crystal. Source: Alexandria via LeMat-Bulk, functional PBE.

Results
Space group = No. 166
DFT formation energy = -185 meV per atom
Polymorph energy (0 for the lowest one) = 1.26 eV per formula unit

a = 4.7675 Å, b = 4.7675 Å, c = 8.5323 Å
α = 73.78°, β = 73.78°, γ = 60.00°
Last column: nearest neighbours and their distance in Å.
Fractional coordinates of all 12 atoms:
1 Pa 0.8646 0.8646 0.4063  9 Co 2.74-2.85
2 Pa 0.1354 0.1354 0.5937  9 Co 2.74-2.85
3 Ta 0.0000 0.0000 0.0000  18 Co 2.75-3.06
4 Co 0.6666 0.6666 0.0001  6 Co 2.36-2.37
5 Co 0.3334 0.3334 0.9999  6 Co 2.36-2.37
6 Co 0.5000 0.5000 0.5000  6 Co 2.53
7 Co 0.4199 0.4199 0.2383  7 Co 2.36-2.53
8 Co 0.9218 0.4199 0.2383  7 Co 2.36-2.53
9 Co 0.4199 0.9218 0.2383  7 Co 2.36-2.53
10 Co 0.5801 0.5801 0.7617  7 Co 2.36-2.53
11 Co 0.5801 0.0782 0.7617  7 Co 2.36-2.53
12 Co 0.0782 0.5801 0.7617  7 Co 2.36-2.53

---

A relaxed Pa2TaCo9 crystal. Source: Alexandria via LeMat-Bulk, functional PBE.

Results
Space group = No. 123
DFT formation energy = -290 meV per atom
Polymorph energy (0 for the lowest one) = 0.00 eV per formula unit

a = 3.7673 Å, b = 3.7673 Å, c = 11.1832 Å
α = 90.00°, β = 90.00°, γ = 90.00°
Last column: nearest neighbours and their distance in Å.
Fractional coordinates of all 12 atoms:
1 Pa 0.0000 0.0000 0.3283  12 Co 2.66-2.69
2 Pa 0.0000 0.0000 0.6717  12 Co 2.66-2.69
3 Ta 0.0000 0.0000 0.0000  12 Co 2.57-2.66
4 Co 0.5000 0.5000 0.0000  8 Co 2.57, 4 Ta 2.66
5 Co 0.5000 0.5000 0.3277  4 Pa 2.66, 8 Co 2.69
6 Co 0.5000 0.5000 0.6723  4 Pa 2.66, 8 Co 2.69
7 Co 0.5000 0.0000 0.1563  2 Ta 2.57, 8 Co 2.57-2.69, 2 Pa 2.69
8 Co 0.5000 0.0000 0.5000  8 Co 2.66-2.69, 4 Pa 2.69
9 Co 0.5000 0.0000 0.8437  2 Ta 2.57, 8 Co 2.57-2.69, 2 Pa 2.69
10 Co 0.0000 0.5000 0.1563  8 Co 2.57-2.69, 2 Ta 2.57, 2 Pa 2.69
11 Co 0.0000 0.5000 0.5000  8 Co 2.66-2.69, 4 Pa 2.69
12 Co 0.0000 0.5000 0.8437  8 Co 2.57-2.69, 2 Ta 2.57, 2 Pa 2.69

---

A relaxed PaTaCo2 crystal. Source: Alexandria via LeMat-Bulk, functional PBE.

Results
Space group = No. 166
DFT formation energy = -147 meV per atom
Polymorph energy (0 for the lowest one) = 0.09 eV per formula unit

a = 4.2044 Å, b = 4.2044 Å, c = 5.0848 Å
α = 65.58°, β = 65.58°, γ = 60.00°
Last column: nearest neighbours and their distance in Å.
Fractional coordinates of all 4 atoms:
1 Pa 0.0000 0.0000 0.0000  8 Co 2.89-2.90
2 Co 0.7834 0.7834 0.6499  3 Ta 2.52, 3 Co 2.77
3 Co 0.2166 0.2166 0.3501  3 Ta 2.52, 3 Co 2.77
4 Ta 0.5000 0.5000 0.5000  6 Co 2.52

---

A relaxed PaTaCo2 crystal. Source: Alexandria via LeMat-Bulk, functional PBE.

Results
Space group = No. 123
DFT formation energy = -169 meV per atom
Polymorph energy (0 for the lowest one) = 0.00 eV per formula unit

a = 3.0587 Å, b = 3.0587 Å, c = 6.8646 Å
α = 90.00°, β = 90.00°, γ = 90.00°
Last column: nearest neighbours and their distance in Å.
Fractional coordinates of all 4 atoms:
1 Pa 0.5000 0.5000 0.5000  8 Co 2.96, 4 Pa 3.06
2 Co 0.0000 0.0000 0.7943  4 Ta 2.58, 1 Co 2.82
3 Co 0.0000 0.0000 0.2057  4 Ta 2.58, 1 Co 2.82
4 Ta 0.5000 0.5000 0.0000  8 Co 2.58

---

A relaxed PaTaCo4 crystal. Source: Alexandria via LeMat-Bulk, functional PBE.

Results
Space group = No. 216
DFT formation energy = -192 meV per atom

a = 4.8787 Å, b = 4.8787 Å, c = 4.8787 Å
α = 60.00°, β = 60.00°, γ = 60.00°
Last column: nearest neighbours and their distance in Å.
Fractional coordinates of all 6 atoms:
1 Pa 0.2500 0.2500 0.2500  12 Co 2.86, 4 Ta 2.99
2 Co 0.6254 0.6254 0.1238  6 Co 2.43-2.45
3 Co 0.6254 0.1238 0.6254  6 Co 2.43-2.45
4 Co 0.6254 0.6254 0.6254  6 Co 2.43-2.45
5 Co 0.1238 0.6254 0.6254  6 Co 2.43-2.45
6 Ta 0.0000 0.0000 0.0000  12 Co 2.86, 4 Pa 2.99

---

A relaxed Tb3PaCo8 crystal. Source: Alexandria via LeMat-Bulk, functional PBE.

Results
Space group = No. 160
DFT formation energy = -195 meV per atom

a = 5.0392 Å, b = 5.0392 Å, c = 8.7540 Å
α = 73.27°, β = 73.27°, γ = 60.00°
Last column: nearest neighbours and their distance in Å.
Fractional coordinates of all 12 atoms:
1 Tb 0.3740 0.3740 0.8779  12 Co 2.95-2.98, 4 Tb 3.07-3.09
2 Tb 0.0014 0.0014 0.9959  12 Co 2.95-2.99, 3 Tb 3.07, 1 Pa 3.10
3 Tb 0.4986 0.4986 0.5041  12 Co 2.93-2.96, 1 Tb 3.09, 3 Pa 3.11
4 Pa 0.8763 0.8763 0.3710  12 Co 2.92-2.96, 4 Tb 3.10-3.11
5 Co 0.9340 0.4373 0.1915  6 Co 2.50-2.55
6 Co 0.4416 0.9371 0.6842  6 Co 2.50-2.54
7 Co 0.4373 0.4373 0.1915  6 Co 2.50-2.55
8 Co 0.9371 0.9371 0.6842  6 Co 2.50-2.54
9 Co 0.1875 0.1875 0.4375  6 Co 2.50-2.51
10 Co 0.6878 0.6878 0.9365  6 Co 2.53-2.55
11 Co 0.4373 0.9340 0.1915  6 Co 2.50-2.55
12 Co 0.9371 0.4416 0.6842  6 Co 2.50-2.54

---

A relaxed TbPaCo2 crystal. Source: Alexandria via LeMat-Bulk, functional PBE.

Results
Space group = No. 123
DFT formation energy = -251 meV per atom
Polymorph energy (0 for the lowest one) = 0.49 eV per formula unit

a = 3.3416 Å, b = 3.3416 Å, c = 6.7559 Å
α = 90.00°, β = 90.00°, γ = 90.00°
Last column: nearest neighbours and their distance in Å.
Fractional coordinates of all 4 atoms:
1 Co 0.0000 0.0000 0.8006  1 Co 2.69, 4 Pa 2.72
2 Co 0.0000 0.0000 0.1994  1 Co 2.69, 4 Pa 2.72
3 Pa 0.5000 0.5000 0.0000  8 Co 2.72
4 Tb 0.5000 0.5000 0.5000  8 Co 3.12, 4 Tb 3.34, 2 Pa 3.38